1.
Computed, not measured: a relaxed Si2OsPt crystal at the PBEsol level of DFT.

Calculated values
Formation energy without anion corrections   -0.3519 eV per atom
SG   R-3m

a b c (Å): 7.870 7.870 7.870
angles (deg): 20.94 20.94 20.94
Element x y z (fractional)
Si: 0.247 0.247 0.247
Si: 0.753 0.753 0.753
Os: 0.500 0.500 0.500
Pt: 0.000 0.000 0.000

---

2.
Computed, not measured: a relaxed TcSnP2O crystal at the PBEsol level of DFT.

Calculated values
Formation energy without anion corrections   0.9616 eV per atom
SG   P4/mmm

a b c (Å): 4.987 4.987 3.818
angles (deg): 90.00 90.00 90.00
Element x y z (fractional)
Tc: 0.000 0.000 0.000
Sn: 0.500 0.500 0.500
P: 0.000 0.500 0.500
P: 0.500 0.000 0.500
O: 0.500 0.500 0.000

---

3.
Computed, not measured: a relaxed AlCuAs crystal at the PBEsol level of DFT.

Calculated values
DFT formation energy   9 kJ per mole of atoms
SG   Fmm2

a b c (Å): 5.904 5.894 2.862
angles (deg): 76.15 75.77 28.08
Element x y z (fractional)
Al: 0.000 0.000 0.000
Cu: 0.644 0.644 0.356
As: 0.304 0.304 0.696

---

4.
Computed, not measured: a relaxed CaCd2P crystal at the PBEsol level of DFT.

Calculated values
DFT formation energy   -23 kJ per mole of atoms
SG   P4mm

a b c (Å): 3.633 3.633 6.610
angles (deg): 90.00 90.00 90.00
Element x y z (fractional)
Ca: 0.000 0.000 0.000
Cd: 0.000 0.000 0.547
Cd: 0.500 0.500 0.323
P: 0.500 0.500 0.753

---

5.
Computed, not measured: a relaxed Cs2PrF6 crystal at the PBEsol level of DFT.

Calculated values
Formation energy without anion corrections   -3.0495 eV per atom
SG   P-62m

a b c (Å): 7.171 7.171 3.819
angles (deg): 90.00 90.00 120.00
Element x y z (fractional)
Cs: 0.333 0.667 0.000
Cs: 0.667 0.333 0.000
Pr: 0.000 0.000 0.500
F: 0.000 0.329 0.500
F: 0.000 0.786 0.000
F: 0.214 0.214 0.000
F: 0.329 0.000 0.500
F: 0.671 0.671 0.500
F: 0.786 0.000 0.000

---

6.
Computed, not measured: a relaxed PuSi2Au2 crystal at the PBEsol level of DFT.

Calculated values
Formation energy without anion corrections   -0.3472 eV per atom
SG   I4/mmm

a b c (Å): 5.918 5.918 5.918
angles (deg): 138.61 138.61 59.97
Element x y z (fractional)
Pu: 0.000 0.000 0.000
Si: 0.389 0.389 0.000
Si: 0.611 0.611 0.000
Au: 0.250 0.750 0.500
Au: 0.750 0.250 0.500

---

7.
Computed, not measured: a relaxed ErSi2Rh2 crystal at the PBEsol level of DFT.

Calculated values
Formation energy without anion corrections   -1.1698 eV per atom
SG   I4/mmm

a b c (Å): 5.682 5.682 5.682
angles (deg): 138.84 138.84 59.61
Element x y z (fractional)
Er: 0.000 0.000 0.000
Si: 0.379 0.379 0.000
Si: 0.621 0.621 0.000
Rh: 0.250 0.750 0.500
Rh: 0.750 0.250 0.500

---

8.
Computed, not measured: a relaxed RbAsRhBr2 crystal at the PBEsol level of DFT.

Calculated values
Formation energy without anion corrections   -0.5003 eV per atom
SG   P4/mmm

a b c (Å): 5.388 5.388 4.581
angles (deg): 90.00 90.00 90.00
Element x y z (fractional)
Rb: 0.000 0.000 0.000
As: 0.500 0.500 0.000
Rh: 0.500 0.500 0.500
Br: 0.000 0.500 0.500
Br: 0.500 0.000 0.500

---

9.
Computed, not measured: a relaxed Mg2ZnW crystal at the PBEsol level of DFT.

Calculated values
DFT formation energy   38 kJ per mole of atoms
SG   P4/mmm

a b c (Å): 3.960 3.960 4.122
angles (deg): 90.00 90.00 90.00
Element x y z (fractional)
Mg: 0.000 0.500 0.000
Mg: 0.500 0.000 0.000
Zn: 0.000 0.000 0.500
W: 0.500 0.500 0.500

---

10.
Computed, not measured: a relaxed HfSe2N crystal at the PBEsol level of DFT.

Calculated values
Formation energy without anion corrections   0.1700 eV per atom
SG   R-3m

a b c (Å): 7.284 7.284 7.284
angles (deg): 28.27 28.27 28.27
Element x y z (fractional)
Hf: 0.000 0.000 0.000
Se: 0.414 0.414 0.414
Se: 0.586 0.586 0.586
N: 0.500 0.500 0.500

---

11.
Computed, not measured: a relaxed Re2Ru2Cl crystal at the PBEsol level of DFT.

Calculated values
Formation energy without anion corrections   0.7704 eV per atom
SG   I4/mmm

a b c (Å): 6.792 6.792 6.792
angles (deg): 149.07 149.07 44.31
Element x y z (fractional)
Re: 0.250 0.750 0.500
Re: 0.750 0.250 0.500
Ru: 0.105 0.105 0.000
Ru: 0.895 0.895 0.000
Cl: 0.500 0.500 0.000

---

12.
Computed, not measured: a relaxed InFeAg2 crystal at the PBEsol level of DFT.

Calculated values
DFT formation energy   20 kJ per mole of atoms
SG   P4mm

a b c (Å): 2.910 2.910 7.710
angles (deg): 90.00 90.00 90.00
Element x y z (fractional)
In: 0.000 0.000 0.000
Fe: 0.500 0.500 0.760
Ag: 0.000 0.000 0.536
Ag: 0.500 0.500 0.278